No. 1
# NaScPaSe4, optimized geometry, DFT PBE
# **Symmetry**: Imma, No. 74
# **Formation energy from raw total energies**: -1.445 eV per atom
data_NaScPaSe4
_space_group_name_H-M_alt 'P 1'
_space_group_IT_number 1
_space_group_name_Hall 'P 1'
_cell_length_a 8.2862
_cell_length_b 8.2862
_cell_length_c 8.2862
_cell_angle_alpha 121.26
_cell_angle_beta 116.86
_cell_angle_gamma 91.67
loop_
_atom_site_label
_atom_site_fract_x
_atom_site_fract_y
_atom_site_fract_z
Na1 0.3942 0.1442 0.2500
Na2 0.6058 0.8558 0.7500
Sc1 0.0000 0.0000 0.5000
Sc2 0.0000 0.5000 0.0000
Pa1 0.0000 0.5000 0.5000
Pa2 0.5000 0.5000 0.0000
Se1 0.2069 0.7445 0.4624
Se2 0.2179 0.2555 0.9624
Se3 0.2387 0.2580 0.5193
Se4 0.2387 0.7194 0.9807
Se5 0.7613 0.2806 0.0193
Se6 0.7613 0.7420 0.4807
Se7 0.7821 0.7445 0.0376
Se8 0.7931 0.2555 0.5376

***

No. 2
# GdTm2H, optimized geometry, DFT PBE
# **Symmetry**: P4/mmm, No. 123
# **Calculated total energy**: -6.454 eV/atom
data_GdTm2H
_space_group_name_H-M_alt 'P 1'
_space_group_IT_number 1
_space_group_name_Hall 'P 1'
_cell_length_a 3.3100
_cell_length_b 3.3100
_cell_length_c 8.4246
_cell_angle_alpha 90.00
_cell_angle_beta 90.00
_cell_angle_gamma 90.00
loop_
_atom_site_label
_atom_site_fract_x
_atom_site_fract_y
_atom_site_fract_z
Gd1 0.0000 0.0000 0.0000
Tm1 0.5000 0.5000 0.3092
Tm2 0.5000 0.5000 0.6908
H1 0.0000 0.0000 0.5000

***

No. 3
# Np4Al, optimized geometry, DFT PBE
# **Symmetry**: Pm-3m, No. 221
# **Calculated formation energy**: 1.605 eV/atom
data_Np4Al
_space_group_name_H-M_alt 'P 1'
_space_group_IT_number 1
_space_group_name_Hall 'P 1'
_cell_length_a 5.3363
_cell_length_b 5.3363
_cell_length_c 5.3363
_cell_angle_alpha 90.00
_cell_angle_beta 90.00
_cell_angle_gamma 90.00
loop_
_atom_site_label
_atom_site_fract_x
_atom_site_fract_y
_atom_site_fract_z
Np1 0.0000 0.0000 0.0000
Np2 0.0000 0.5000 0.5000
Np3 0.5000 0.0000 0.5000
Np4 0.5000 0.5000 0.0000
Al1 0.5000 0.5000 0.5000

***

No. 4
# As5W4, optimized geometry, DFT PBE
# **Symmetry**: P6_3/mcm, No. 193
# **Calculated formation energy**: 0.560 eV/atom
data_As5W4
_space_group_name_H-M_alt 'P 1'
_space_group_IT_number 1
_space_group_name_Hall 'P 1'
_cell_length_a 7.5722
_cell_length_b 7.5722
_cell_length_c 6.0283
_cell_angle_alpha 90.00
_cell_angle_beta 90.00
_cell_angle_gamma 120.00
loop_
_atom_site_label
_atom_site_fract_x
_atom_site_fract_y
_atom_site_fract_z
As1 0.0000 0.2744 0.2500
As2 0.0000 0.7256 0.7500
As3 0.2744 0.0000 0.2500
As4 0.2744 0.2744 0.7500
As5 0.3333 0.6667 0.0000
As6 0.3333 0.6667 0.5000
As7 0.6667 0.3333 0.0000
As8 0.6667 0.3333 0.5000
As9 0.7256 0.0000 0.7500
As10 0.7256 0.7256 0.2500
W1 0.0000 0.0000 0.0000
W2 0.0000 0.0000 0.5000
W3 0.0000 0.3954 0.7500
W4 0.0000 0.6046 0.2500
W5 0.3954 0.0000 0.7500
W6 0.3954 0.3954 0.2500
W7 0.6046 0.0000 0.2500
W8 0.6046 0.6046 0.7500

***

No. 5
# Zn2InSe2, optimized geometry, DFT PBE
# **Symmetry**: I4/mmm, No. 139
# **Formation energy from raw total energies**: -0.161 eV per atom
data_Zn2InSe2
_space_group_name_H-M_alt 'P 1'
_space_group_IT_number 1
_space_group_name_Hall 'P 1'
_cell_length_a 5.5981
_cell_length_b 5.5981
_cell_length_c 5.5981
_cell_angle_alpha 125.62
_cell_angle_beta 125.62
_cell_angle_gamma 80.52
loop_
_atom_site_label
_atom_site_fract_x
_atom_site_fract_y
_atom_site_fract_z
Zn1 0.1523 0.1523 0.0000
Zn2 0.8477 0.8477 0.0000
In1 0.5000 0.5000 0.0000
Se1 0.2500 0.7500 0.5000
Se2 0.7500 0.2500 0.5000

***

No. 6
# Hg2SbRh, optimized geometry, DFT PBE
# **Symmetry**: Immm, No. 71
# **Formation energy from raw total energies**: 0.064 eV per atom
data_Hg2SbRh
_space_group_name_H-M_alt 'P 1'
_space_group_IT_number 1
_space_group_name_Hall 'P 1'
_cell_length_a 7.2190
_cell_length_b 7.2190
_cell_length_c 7.2190
_cell_angle_alpha 155.19
_cell_angle_beta 144.68
_cell_angle_gamma 43.64
loop_
_atom_site_label
_atom_site_fract_x
_atom_site_fract_y
_atom_site_fract_z
Hg1 0.1904 0.1904 0.0000
Hg2 0.8096 0.8096 0.0000
Sb1 0.5000 0.0000 0.5000
Rh1 0.0000 0.5000 0.5000

***

No. 7
# Sm3Cd4In2Ag2, optimized geometry, DFT PBE
# **Symmetry**: I4/mmm, No. 139
# **Calculated formation energy**: -0.217 eV/atom
data_Sm3Cd4In2Ag2
_space_group_name_H-M_alt 'P 1'
_space_group_IT_number 1
_space_group_name_Hall 'P 1'
_cell_length_a 15.0306
_cell_length_b 15.0306
_cell_length_c 15.0306
_cell_angle_alpha 163.29
_cell_angle_beta 163.29
_cell_angle_gamma 23.71
loop_
_atom_site_label
_atom_site_fract_x
_atom_site_fract_y
_atom_site_fract_z
Sm1 0.0000 0.0000 0.0000
Sm2 0.2068 0.2068 0.0000
Sm3 0.7932 0.7932 0.0000
Cd1 0.1155 0.6155 0.5000
Cd2 0.3845 0.8845 0.5000
Cd3 0.6155 0.1155 0.5000
Cd4 0.8845 0.3845 0.5000
In1 0.4529 0.4529 0.0000
In2 0.5471 0.5471 0.0000
Ag1 0.3146 0.3146 0.0000
Ag2 0.6854 0.6854 0.0000

***

No. 8
# LiLaGa4Au2, optimized geometry, DFT PBE
# **Symmetry**: R-3m, No. 166
# **Calculated formation energy**: -0.495 eV/atom
data_LiLaGa4Au2
_space_group_name_H-M_alt 'P 1'
_space_group_IT_number 1
_space_group_name_Hall 'P 1'
_cell_length_a 9.2922
_cell_length_b 9.2922
_cell_length_c 9.2922
_cell_angle_alpha 27.72
_cell_angle_beta 27.72
_cell_angle_gamma 27.72
loop_
_atom_site_label
_atom_site_fract_x
_atom_site_fract_y
_atom_site_fract_z
Li1 0.0000 0.0000 0.0000
La1 0.5000 0.5000 0.5000
Ga1 0.1023 0.1023 0.1023
Ga2 0.3732 0.3732 0.3732
Ga3 0.6268 0.6268 0.6268
Ga4 0.8977 0.8977 0.8977
Au1 0.2680 0.2680 0.2680
Au2 0.7320 0.7320 0.7320